Below is a relaxed structure of Pt3Au2, with properties calculated at the PBEsol level.

abc: 2.7891 2.7891 11.7674
angles: 83.19 83.19 60.00
Closest atoms and distances in Å follow each position.
Atoms (fractional coordinates):
Au 0.4006 0.4006 0.7982  6 Au 2.79, 6 Pt 2.84-2.85
Au 0.5994 0.5994 0.2018  6 Au 2.79, 6 Pt 2.84-2.85
Pt 0.0000 0.0000 0.0000  6 Pt 2.79, 6 Au 2.85
Pt 0.1991 0.1991 0.4028  9 Pt 2.78-2.79, 3 Au 2.84
Pt 0.8009 0.8009 0.5972  9 Pt 2.78-2.79, 3 Au 2.84

ΔE_f in eV/atom: 0.04